A plane-wave DFT calculation with PBE was carried out for a relaxed structure of PmSmScIn.

Output
**SG**: F-43m, No. 216
**ΔE to the lowest computed polymorph**: 68 meV per atom
**DOS(E_F)**: 5.63 states/eV per cell
**ΔE_f**: -0.100 eV/atom

Cell lengths 5.3975, 5.3975, 5.3992 Å; angles 119.99, 119.99, 90.00 degrees
With the nearest neighbours (Å) after each atom.
Atoms (fractional coordinates):
Sc1 0.5000 0.5000 0.0000  4 In 3.31, 4 Pm 3.31
Pm1 0.7500 0.2500 0.5000  4 Sc 3.31, 4 Sm 3.31
In1 0.2500 0.7500 0.5000  4 Sc 3.31, 4 Sm 3.31
Sm1 0.0000 0.0000 0.0000  4 In 3.31, 4 Pm 3.31